Computed, not measured: a relaxed structure of GaCoRh3 at the GGA-PBEsol level of DFT.

Structure (POSCAR):
```
GaCoRh3
1.0
4.366 0.000 0.000
0.000 4.366 0.000
0.000 0.000 4.366
Ga Co Rh
1 1 3
direct
0.000 0.000 0.000
0.500 0.500 0.500
0.000 0.500 0.500
0.500 0.000 0.500
0.500 0.500 0.000
```

Output
formation energy from the elements	0.9667	eV/atom
symmetry	Pm-3m, No. 221
mass density	8.73	g cm⁻³
size of the total moment	3.38	μB/cell
electronic total energy	-30.66	eV per cell